*A*
Density functional theory data (PBE) for RbBa2Sr after structural relaxation.

Unit cell a=11.084 b=11.084 c=8.475 alpha=90.00 beta=90.00 gamma=90.00
Space group I-42d (No. 122)
One atom of each set of equivalent atoms:
Rb1 0.000 0.000 0.000
Ba1 0.244 0.250 0.125
Sr1 0.000 0.000 0.500

Summary:
Its crystal system is tetragonal. The value obtained for the total moment is 0.2217 μB/atom. The density of states at the Fermi level is 1.06 states/eV per atom.

*B*
Density functional theory data (PBE) for RbBa2Sr after structural relaxation.

Unit cell a=7.360 b=7.360 c=4.843 alpha=90.00 beta=90.00 gamma=90.00
Space group P4/mmm (No. 123)
One atom of each set of equivalent atoms:
Rb1 0.000 0.000 0.000
Ba1 0.000 0.500 0.500
Sr1 0.500 0.500 0.000

Summary:
Its crystal system is tetragonal. The value obtained for the total moment is 0.0001 μB/atom. The density of states at the Fermi level is 1.54 states/eV per atom.

*C*
Density functional theory data (PBE) for RbBa2Sr after structural relaxation.

Unit cell a=4.412 b=4.412 c=13.726 alpha=90.00 beta=90.00 gamma=90.00
Space group P4/mmm (No. 123)
One atom of each set of equivalent atoms:
Rb1 0.000 0.000 0.000
Ba1 0.500 0.500 0.272
Sr1 0.000 0.000 0.500

Summary:
Its crystal system is tetragonal. The value obtained for the total moment is 0.0000 μB/atom. The density of states at the Fermi level is 1.30 states/eV per atom.

*D*
Density functional theory data (PBE) for RbBa2Sr after structural relaxation.

Unit cell a=4.4751 b=4.4751 c=45.6793 alpha=90.00 beta=90.00 gamma=120.00
Space group R3m (No. 160, hexagonal axes)
One atom of each set of equivalent atoms:
Rb1 0.0000 0.0000 0.0000
Ba1 0.0000 0.0000 0.2439
Ba2 0.0000 0.0000 0.4227
Sr1 0.0000 0.0000 0.8333

Summary:
Its crystal system is trigonal. The value obtained for the total moment is 0.0000 μB/atom. The density of states at the Fermi level is 1.31 states/eV per atom.

Most stable structure, least stable structure: *D*, *A*.

*A*
Density functional theory data (PBE) for Rb2Ba2Sr after structural relaxation.

Unit cell a=11.827 b=11.827 c=5.006 alpha=90.00 beta=90.00 gamma=90.00
Space group P4/mbm (No. 127)
One atom of each set of equivalent atoms:
Rb1 0.123 0.377 0.000
Ba1 0.179 0.679 0.500
Sr1 0.000 0.000 0.000

Summary:
Its crystal system is tetragonal. The value obtained for the total moment is 0.0822 μB/atom. The density of states at the Fermi level is 1.19 states/eV per atom.

*B*
Density functional theory data (PBE) for Rb2Ba2Sr after structural relaxation.

Unit cell a=5.891 b=5.891 c=21.817 alpha=90.00 beta=90.00 gamma=90.00
Space group I4/mmm (No. 139)
One atom of each set of equivalent atoms:
Rb1 0.000 0.000 0.094
Ba1 0.000 0.500 0.250
Sr1 0.000 0.000 0.500

Summary:
Its crystal system is tetragonal. The value obtained for the total moment is 0.0000 μB/atom. The density of states at the Fermi level is 1.51 states/eV per atom.

Most stable structure, least stable structure: *A*, *B*.

*A*
Density functional theory data (PBE) for Rb2Ba2Sr after structural relaxation.

Unit cell a=12.323 b=12.323 c=4.774 alpha=90.00 beta=90.00 gamma=90.00
Space group P4/mbm (No. 127)
One atom of each set of equivalent atoms:
Rb1 0.173 0.327 0.000
Ba1 0.126 0.626 0.500
Sr1 0.000 0.000 0.500

Summary:
Its crystal system is tetragonal. The value obtained for the total moment is 0.0000 μB/atom. The density of states at the Fermi level is 1.38 states/eV per atom.

*B*
Density functional theory data (PBE) for Rb2Ba2Sr after structural relaxation.

Unit cell a=5.536 b=5.536 c=23.990 alpha=90.00 beta=90.00 gamma=90.00
Space group I4/mmm (No. 139)
One atom of each set of equivalent atoms:
Rb1 0.000 0.500 0.250
Ba1 0.000 0.000 0.088
Sr1 0.000 0.000 0.500

Summary:
Its crystal system is tetragonal. The value obtained for the total moment is 0.2884 μB/atom. The density of states at the Fermi level is 1.53 states/eV per atom.

Most stable structure, least stable structure: *B*, *A*.

*A*
Density functional theory data (PBE) for Rb3BaTc after structural relaxation.

Unit cell a=6.460 b=6.460 c=6.460 alpha=90.00 beta=90.00 gamma=90.00
Space group Pm-3m (No. 221)
One atom of each set of equivalent atoms:
Rb1 0.000 0.000 0.500
Ba1 0.500 0.500 0.500
Tc1 0.000 0.000 0.000

Summary:
Its crystal system is cubic. The value obtained for the total moment is 0.0000 μB/atom. The density of states at the Fermi level is 1.41 states/eV per atom.

*B*
Density functional theory data (PBE) for Rb3BaTc after structural relaxation.

Unit cell a=7.935 b=7.935 c=7.935 alpha=90.00 beta=90.00 gamma=90.00
Space group Pm-3m (No. 221)
One atom of each set of equivalent atoms:
Rb1 0.000 0.000 0.500
Ba1 0.000 0.000 0.000
Tc1 0.500 0.500 0.500

Summary:
Its crystal system is cubic. The value obtained for the total moment is 0.4009 μB/atom. The density of states at the Fermi level is 3.98 states/eV per atom.

Most stable structure, least stable structure: *A*, *B*.

*A*
Density functional theory data (PBE) for RbBa2Tc after structural relaxation.

Unit cell a=8.652 b=8.652 c=8.652 alpha=90.00 beta=90.00 gamma=90.00
Space group Fm-3m (No. 225)
One atom of each set of equivalent atoms:
Rb1 0.000 0.000 0.000
Ba1 0.250 0.250 0.250
Tc1 0.000 0.000 0.500

Summary:
Its crystal system is cubic. The value obtained for the total moment is 0.5027 μB/atom. The density of states at the Fermi level is 1.04 states/eV per atom.

*B*
Density functional theory data (PBE) for RbBa2Tc after structural relaxation.

Unit cell a=8.876 b=8.876 c=12.536 alpha=90.00 beta=90.00 gamma=90.00
Space group I-42d (No. 122)
One atom of each set of equivalent atoms:
Rb1 0.000 0.000 0.000
Ba1 0.004 0.250 0.625
Tc1 0.000 0.000 0.500

Summary:
Its crystal system is tetragonal. The value obtained for the total moment is 0.0000 μB/atom. The density of states at the Fermi level is 0.91 states/eV per atom.

Most stable structure, least stable structure: *B*, *A*.

*A*
Density functional theory data (PBE) for Rb2BaTc after structural relaxation.

Unit cell a=8.998 b=8.998 c=8.998 alpha=90.00 beta=90.00 gamma=90.00
Space group Fm-3m (No. 225)
One atom of each set of equivalent atoms:
Rb1 0.250 0.250 0.250
Ba1 0.000 0.000 0.000
Tc1 0.000 0.000 0.500

Summary:
Its crystal system is cubic. The value obtained for the total moment is 0.6830 μB/atom. The density of states at the Fermi level is 1.36 states/eV per atom.

*B*
Density functional theory data (PBE) for Rb2BaTc after structural relaxation.

Unit cell a=5.967 b=5.967 c=26.506 alpha=90.00 beta=90.00 gamma=90.00
Space group I4_1/amd (No. 141, origin choice 2)
One atom of each set of equivalent atoms:
Rb1 0.000 0.000 0.000
Ba1 0.000 0.250 0.375
Tc1 0.000 0.250 0.875

Summary:
Its crystal system is tetragonal. The value obtained for the total moment is 0.7603 μB/atom. The density of states at the Fermi level is 1.26 states/eV per atom.

Most stable structure, least stable structure: *A*, *B*.

*A*
Density functional theory data (PBE) for RbBa3Tc after structural relaxation.

Unit cell a=6.590 b=6.590 c=6.590 alpha=90.00 beta=90.00 gamma=90.00
Space group Pm-3m (No. 221)
One atom of each set of equivalent atoms:
Rb1 0.000 0.000 0.000
Ba1 0.000 0.000 0.500
Tc1 0.500 0.500 0.500

Summary:
Its crystal system is cubic. The value obtained for the total moment is 0.2770 μB/atom. The density of states at the Fermi level is 2.08 states/eV per atom.

*B*
Density functional theory data (PBE) for RbBa3Tc after structural relaxation.

Unit cell a=6.309 b=6.309 c=6.309 alpha=90.00 beta=90.00 gamma=90.00
Space group Pm-3m (No. 221)
One atom of each set of equivalent atoms:
Rb1 0.000 0.000 0.000
Ba1 0.000 0.500 0.500
Tc1 0.500 0.500 0.500

Summary:
Its crystal system is cubic. The value obtained for the total moment is 0.2777 μB/atom. The density of states at the Fermi level is 1.02 states/eV per atom.

Most stable structure, least stable structure: *B*, *A*.

*A*
Density functional theory data (PBE) for RbBa2Te2 after structural relaxation.

Unit cell a=6.527 b=6.527 c=13.455 alpha=90.00 beta=90.00 gamma=90.00
Space group I4/mmm (No. 139)
One atom of each set of equivalent atoms:
Rb1 0.000 0.000 0.000
Ba1 0.000 0.000 0.324
Te1 0.000 0.500 0.250

Summary:
Its crystal system is tetragonal. The value obtained for the total moment is 0.1668 μB/atom. The density of states at the Fermi level is 0.39 states/eV per atom.

*B*
Density functional theory data (PBE) for RbBa2Te2 after structural relaxation.

Unit cell a=9.617 b=9.617 c=4.662 alpha=90.00 beta=90.00 gamma=90.00
Space group P4/mbm (No. 127)
One atom of each set of equivalent atoms:
Rb1 0.000 0.000 0.000
Ba1 0.149 0.351 0.500
Te1 0.151 0.651 0.000

Summary:
Its crystal system is tetragonal. The value obtained for the total moment is 0.1642 μB/atom. The density of states at the Fermi level is 0.43 states/eV per atom.

Most stable structure, least stable structure: *B*, *A*.